1.
# PmGdNb (PBE, relaxed)
# ΔE_f	0.804	eV per atom
# relative energy among the computed polymorphs	0	meV per atom
# crystal system	cubic
data_PmGdNb
_chemical_formula_sum 'Pm4 Gd4 Nb4'
_symmetry_space_group_name_H-M 'F -4 3 m'
_symmetry_Int_Tables_number 216
_symmetry_space_group_name_Hall 'F -4 2 3'
_cell_length_a 7.223
_cell_length_b 7.223
_cell_length_c 7.223
_cell_angle_alpha 90.00
_cell_angle_beta 90.00
_cell_angle_gamma 90.00
loop_
_atom_site_label
_atom_site_fract_x
_atom_site_fract_y
_atom_site_fract_z
Pm1 0.000 0.000 0.000
Gd1 0.000 0.000 0.500
Nb1 0.250 0.250 0.750

2.
# PrGdNb (PBE, relaxed)
# ΔE_f	0.809	eV per atom
# relative energy among the computed polymorphs	0	meV per atom
# crystal system	cubic
data_PrGdNb
_chemical_formula_sum 'Pr4 Gd4 Nb4'
_symmetry_space_group_name_H-M 'F -4 3 m'
_symmetry_Int_Tables_number 216
_symmetry_space_group_name_Hall 'F -4 2 3'
_cell_length_a 7.271
_cell_length_b 7.271
_cell_length_c 7.271
_cell_angle_alpha 90.00
_cell_angle_beta 90.00
_cell_angle_gamma 90.00
loop_
_atom_site_label
_atom_site_fract_x
_atom_site_fract_y
_atom_site_fract_z
Pr1 0.000 0.000 0.000
Gd1 0.000 0.000 0.500
Nb1 0.250 0.250 0.750

3.
# GdPuNb (PBE, relaxed)
# ΔE_f	0.768	eV per atom
# relative energy among the computed polymorphs	0	meV per atom
# crystal system	cubic
data_GdPuNb
_chemical_formula_sum 'Gd4 Pu4 Nb4'
_symmetry_space_group_name_H-M 'F -4 3 m'
_symmetry_Int_Tables_number 216
_symmetry_space_group_name_Hall 'F -4 2 3'
_cell_length_a 6.860
_cell_length_b 6.860
_cell_length_c 6.860
_cell_angle_alpha 90.00
_cell_angle_beta 90.00
_cell_angle_gamma 90.00
loop_
_atom_site_label
_atom_site_fract_x
_atom_site_fract_y
_atom_site_fract_z
Gd1 0.000 0.000 0.000
Pu1 0.000 0.000 0.500
Nb1 0.250 0.250 0.250

4.
# Rb2GdNbS4 (PBE, relaxed)
# crystal system	trigonal
# energy	-44.022	eV/cell
data_Rb2GdNbS4
_chemical_formula_sum 'Rb2 Gd1 Nb1 S4'
_symmetry_space_group_name_H-M 'P -3 m 1'
_symmetry_Int_Tables_number 164
_symmetry_space_group_name_Hall '-P 3 2"'
_cell_length_a 3.9828
_cell_length_b 3.9828
_cell_length_c 15.0616
_cell_angle_alpha 90.00
_cell_angle_beta 90.00
_cell_angle_gamma 120.00
loop_
_atom_site_label
_atom_site_fract_x
_atom_site_fract_y
_atom_site_fract_z
Rb1 0.3333 0.6667 0.2590
Gd1 0.0000 0.0000 0.0000
Nb1 0.0000 0.0000 0.5000
S1 0.3333 0.6667 0.5842
S2 0.3333 0.6667 0.8979

5.
# Rb2GdNbTe4 (PBE, relaxed)
# crystal system	trigonal
# energy	-36.642	eV/cell
data_Rb2GdNbTe4
_chemical_formula_sum 'Rb2 Gd1 Nb1 Te4'
_symmetry_space_group_name_H-M 'P -3 m 1'
_symmetry_Int_Tables_number 164
_symmetry_space_group_name_Hall '-P 3 2"'
_cell_length_a 4.4372
_cell_length_b 4.4372
_cell_length_c 16.8116
_cell_angle_alpha 90.00
_cell_angle_beta 90.00
_cell_angle_gamma 120.00
loop_
_atom_site_label
_atom_site_fract_x
_atom_site_fract_y
_atom_site_fract_z
Rb1 0.3333 0.6667 0.2409
Gd1 0.0000 0.0000 0.5000
Nb1 0.0000 0.0000 0.0000
Te1 0.3333 0.6667 0.6055
Te2 0.3333 0.6667 0.9141

6.
# GdNbSb2 (PBE, relaxed)
# crystal system	tetragonal
# energy	-24.218	eV/cell
data_GdNbSb2
_chemical_formula_sum 'Gd1 Nb1 Sb2'
_symmetry_space_group_name_H-M 'P 4/m m m'
_symmetry_Int_Tables_number 123
_symmetry_space_group_name_Hall '-P 4 2'
_cell_length_a 4.208
_cell_length_b 4.208
_cell_length_c 5.902
_cell_angle_alpha 90.00
_cell_angle_beta 90.00
_cell_angle_gamma 90.00
loop_
_atom_site_label
_atom_site_fract_x
_atom_site_fract_y
_atom_site_fract_z
Gd1 0.000 0.000 0.000
Nb1 0.500 0.500 0.500
Sb1 0.000 0.000 0.500
Sb2 0.500 0.500 0.000

7.
# Gd2NbSb3 (PBE, relaxed)
# crystal system	trigonal
# energy	-35.892	eV/cell
data_Gd2NbSb3
_chemical_formula_sum 'Gd2 Nb1 Sb3'
_symmetry_space_group_name_H-M 'P -3 m 1'
_symmetry_Int_Tables_number 164
_symmetry_space_group_name_Hall '-P 3 2"'
_cell_length_a 4.2536
_cell_length_b 4.2536
_cell_length_c 10.4274
_cell_angle_alpha 90.00
_cell_angle_beta 90.00
_cell_angle_gamma 120.00
loop_
_atom_site_label
_atom_site_fract_x
_atom_site_fract_y
_atom_site_fract_z
Gd1 0.3333 0.6667 0.1797
Nb1 0.0000 0.0000 0.5000
Sb1 0.0000 0.0000 0.0000
Sb2 0.3333 0.6667 0.6431

8.
# SmGdNb2Si2 (PBE, relaxed)
# crystal system	tetragonal
# energy	-44.033	eV/cell
data_SmGdNb2Si2
_chemical_formula_sum 'Sm1 Gd1 Nb2 Si2'
_symmetry_space_group_name_H-M 'P 4 m m'
_symmetry_Int_Tables_number 99
_symmetry_space_group_name_Hall 'P 4 -2'
_cell_length_a 4.028
_cell_length_b 4.028
_cell_length_c 7.941
_cell_angle_alpha 90.00
_cell_angle_beta 90.00
_cell_angle_gamma 90.00
loop_
_atom_site_label
_atom_site_fract_x
_atom_site_fract_y
_atom_site_fract_z
Sm1 0.000 0.000 0.000
Gd1 0.500 0.500 0.294
Nb1 0.000 0.500 0.645
Si1 0.000 0.000 0.411
Si2 0.500 0.500 0.878

The calculation returns the following V values, one per record and in order: 376.9 384.4 322.9 206.9 286.7 104.5 163.4 128.8 Å³/cell.